The following is a DFT calculation (PBE-GGA) of a relaxed structure of Gd4Si2O.

Geometry as CIF:
```
data_Gd4Si2O
_cell_length_a 4.545
_cell_length_b 4.545
_cell_length_c 15.763
_cell_angle_alpha 90.00
_cell_angle_beta 90.00
_cell_angle_gamma 90.00
_symmetry_space_group_name_H-M 'I 4/m m m'
_symmetry_Int_Tables_number 139
_symmetry_space_group_name_Hall '-I 4 2'
loop_
_atom_site_label
_atom_site_type_symbol
_atom_site_fract_x
_atom_site_fract_y
_atom_site_fract_z
_atom_site_occupancy
Gd1 Gd 0.000 0.000 0.178 1
Gd2 Gd 0.000 0.500 0.000 1
Si1 Si 0.000 0.000 0.366 1
O1 O 0.000 0.000 0.000 1
```

Values from the calculation:
**Crystal system**: tetragonal
**DOS at the Fermi energy**: 16.81 states/eV per cell
**Total magnetization**: 58.63 Bohr magnetons per cell
**E_form (uncorrected)**: -118.17 kJ/mol of atoms

---

The following is a DFT calculation (PBE-GGA) of a relaxed structure of La2PrSm2Y.

Geometry as CIF:
```
data_La2PrSm2Y
_cell_length_a 6.792
_cell_length_b 18.261
_cell_length_c 3.466
_cell_angle_alpha 90.00
_cell_angle_beta 90.00
_cell_angle_gamma 90.00
_symmetry_space_group_name_H-M 'P n n m'
_symmetry_Int_Tables_number 58
loop_
_symmetry_equiv_pos_as_xyz
'x,y,z'
'-x,-y,-z'
'-x,-y,z'
'x,y,-z'
'x+1/2,-y+1/2,-z+1/2'
'-x+1/2,y+1/2,z+1/2'
'-x+1/2,y+1/2,-z+1/2'
'x+1/2,-y+1/2,z+1/2'
loop_
_atom_site_label
_atom_site_type_symbol
_atom_site_fract_x
_atom_site_fract_y
_atom_site_fract_z
_atom_site_occupancy
La1 La 0.232 0.185 0.000 1
Pr1 Pr 0.000 0.500 0.000 1
Sm1 Sm 0.227 0.353 0.500 1
Y1 Y 0.000 0.000 0.000 1
```

Values from the calculation:
**Crystal system**: orthorhombic
**DOS at the Fermi energy**: 22.29 states/eV per cell
**Total magnetization**: 0.00 Bohr magnetons per cell
**E_form**: 0.233 eV per atom

---

The following is a DFT calculation (PBE-GGA) of a relaxed structure of CeSc3Tl.

Geometry as CIF:
```
data_CeSc3Tl
_cell_length_a 7.479
_cell_length_b 4.407
_cell_length_c 7.507
_cell_angle_alpha 90.00
_cell_angle_beta 91.45
_cell_angle_gamma 90.00
_symmetry_space_group_name_H-M 'P 1 21/m 1'
_symmetry_Int_Tables_number 11
loop_
_symmetry_equiv_pos_as_xyz
'x,y,z'
'-x,-y,-z'
'-x,y+1/2,-z'
'x,-y+1/2,z'
loop_
_atom_site_label
_atom_site_type_symbol
_atom_site_fract_x
_atom_site_fract_y
_atom_site_fract_z
_atom_site_occupancy
Ce1 Ce 0.110 0.250 0.049 1
Sc1 Sc 0.063 0.750 0.369 1
Sc2 Sc 0.361 0.250 0.443 1
Sc3 Sc 0.446 0.750 0.143 1
Tl1 Tl 0.265 0.750 0.738 1
```

Values from the calculation:
**Crystal system**: monoclinic
**DOS at the Fermi energy**: 20.03 states/eV per cell
**Total magnetization**: 0.97 Bohr magnetons per cell
**E_form**: -0.090 eV per atom